Density functional theory data (PBE) for a relaxed structure of PrSc4Rh5.

abc: 3.2335 3.2335 17.1086
angles: 90.00 90.00 90.00
Space group P4/mmm (No. 123)
Inequivalent atoms, fractional coordinates:
Pr (0.0000, 0.0000, 0.0000) [1 per cell]
Sc (0.0000, 0.0000, 0.2127) [2 per cell]
Sc (0.0000, 0.0000, 0.4044) [2 per cell]
Rh (0.5000, 0.5000, 0.1233) [2 per cell]
Rh (0.5000, 0.5000, 0.3105) [2 per cell]
Rh (0.5000, 0.5000, 0.5000) [1 per cell]

Raw total energy ... -75.89 eV for the cell shown
Size of the total moment ... 0.0 Bohr magnetons per cell
Energy of formation from the pure elements ... -903 meV per atom